Computed, not measured: a relaxed BaAlAg2 crystal at the GGA-PBE level of DFT.

Summary:
crystal system: monoclinic
ΔE_f: -0.0190 eV per atom
E: -2.86 eV/atom

Unit cell a=4.4056 b=3.6201 c=6.8148 alpha=78.78 beta=90.00 gamma=90.00
Last column: nearest neighbours and their distance in Å.
Sites, in units of the cell vectors:
Ba 0.5000 0.7500 0.7500  8 Ag 3.48-3.71, 2 Al 3.53, 2 Ba 3.62
Ag 0.0000 0.0664 0.0771  2 Al 2.64, 2 Ag 2.92-2.95
Ag 0.0000 0.4336 0.4229  2 Al 2.64, 2 Ag 2.92-2.95
Al 0.5000 0.2500 0.2500  4 Ag 2.64

---

Computed, not measured: a relaxed BaAl5Ag3 crystal at the GGA-PBE level of DFT.

Summary:
crystal system: orthorhombic
ΔE_f: -0.1731 eV per atom
E: -3.42 eV/atom

Unit cell a=4.2889 b=7.0209 c=13.4322 alpha=90.00 beta=90.00 gamma=107.78
Last column: nearest neighbours and their distance in Å.
Sites, in units of the cell vectors:
Ba 0.8393 0.6786 0.7500  7 Ag 3.56-3.81, 10 Al 3.83-3.99
Ba 0.1607 0.3214 0.2500  7 Ag 3.56-3.81, 10 Al 3.83-3.99
Al 0.8073 0.6145 0.4359  4 Ag 2.59-2.79, 1 Al 2.72
Al 0.1927 0.3855 0.9359  4 Ag 2.59-2.79, 1 Al 2.72
Al 0.0000 0.0000 0.5000  4 Ag 2.70, 2 Al 2.72
Al 0.0000 0.0000 0.0000  4 Ag 2.70, 2 Al 2.72
Al 0.4432 0.8864 0.1499  4 Ag 2.69-2.71, 1 Al 2.69
Al 0.5568 0.1136 0.8501  4 Ag 2.69-2.71, 1 Al 2.69
Al 0.5568 0.1136 0.6499  4 Ag 2.69-2.71, 1 Al 2.69
Al 0.8073 0.6145 0.0641  4 Ag 2.59-2.79, 1 Al 2.72
Al 0.1927 0.3855 0.5641  4 Ag 2.59-2.79, 1 Al 2.72
Al 0.4432 0.8864 0.3501  4 Ag 2.69-2.71, 1 Al 2.69
Ag 0.3853 0.7706 0.9566  7 Al 2.59-2.79
Ag 0.8760 0.7521 0.2500  6 Al 2.66-2.69
Ag 0.3853 0.7706 0.5434  7 Al 2.59-2.79
Ag 0.6147 0.2294 0.4566  7 Al 2.59-2.79
Ag 0.1240 0.2479 0.7500  6 Al 2.66-2.69
Ag 0.6147 0.2294 0.0434  7 Al 2.59-2.79

---

Computed, not measured: a relaxed BaAlAg2 crystal at the GGA-PBE level of DFT.

Summary:
crystal system: orthorhombic
ΔE_f: -0.0192 eV per atom
E: -2.86 eV/atom

Unit cell a=3.5956 b=3.6425 c=7.6130 alpha=90.00 beta=90.00 gamma=90.00
Last column: nearest neighbours and their distance in Å.
Sites, in units of the cell vectors:
Ba 0.5000 0.5000 0.7490  6 Ag 3.51-3.93, 4 Al 3.58, 4 Ba 3.60-3.64
Ag 0.0000 0.0000 0.0650  1 Al 2.70, 4 Ag 2.98
Ag 0.5000 0.5000 0.2657  4 Al 2.82, 4 Ag 2.98
Al 0.0000 0.0000 0.4202  5 Ag 2.70-2.82

---

Computed, not measured: a relaxed Ba3Al8Ag crystal at the GGA-PBE level of DFT.

Summary:
crystal system: trigonal
ΔE_f: -0.0764 eV per atom
E: -3.29 eV/atom

Unit cell a=5.9705 b=5.9705 c=10.1897 alpha=72.96 beta=72.96 gamma=60.00
Last column: nearest neighbours and their distance in Å.
Sites, in units of the cell vectors:
Ba 0.3786 0.3786 0.8642  12 Al 3.49-3.53, 4 Ba 3.62-3.73
Ba 0.9961 0.9961 0.0117  12 Al 3.42-3.63, 3 Ba 3.73
Ba 0.5043 0.5043 0.4871  12 Al 3.37-3.49, 3 Ag 3.47, 1 Ba 3.62
Al 0.9386 0.4379 0.1856  6 Al 2.93-3.08
Al 0.4322 0.9457 0.6764  1 Ag 2.81, 6 Al 2.87-3.07
Al 0.4379 0.4379 0.1856  6 Al 2.93-3.08
Al 0.9457 0.9457 0.6764  1 Ag 2.81, 6 Al 2.87-3.07
Al 0.1890 0.1890 0.4329  6 Al 2.87-2.93
Al 0.6936 0.6936 0.9192  6 Al 2.92-3.08
Al 0.4379 0.9386 0.1856  6 Al 2.93-3.08
Al 0.9457 0.4322 0.6764  1 Ag 2.81, 6 Al 2.87-3.07
Ag 0.8503 0.8503 0.4491  3 Al 2.81